(1)
# Ca6AgPd5 | Alexandria | PBE-GGA | optimized geometry
# - Total magnetic moment: 0.00 μB per formula unit
# - V: 22.56 A^3/atom
# - E_form: -0.62 eV/atom
data_Ca6AgPd5
_chemical_formula_sum 'Ca12 Ag2 Pd10'
_symmetry_space_group_name_H-M 'C m m m'
_symmetry_Int_Tables_number 65
_symmetry_space_group_name_Hall '-C 2 2'
_cell_length_a 5.020
_cell_length_b 15.082
_cell_length_c 7.150
_cell_angle_alpha 90.00
_cell_angle_beta 90.00
_cell_angle_gamma 90.00
loop_
_atom_site_label
_atom_site_type_symbol
_atom_site_fract_x
_atom_site_fract_y
_atom_site_fract_z
Ca1 Ca 0.000 0.000 0.242
Ca2 Ca 0.000 0.330 0.246
Ag1 Ag 0.000 0.500 0.500
Pd1 Pd 0.000 0.163 0.500
Pd2 Pd 0.000 0.165 0.000
Pd3 Pd 0.000 0.500 0.000


(2)
# Ca5AgPd4 | Alexandria | PBE-GGA | optimized geometry
# - Total magnetic moment: 0.00 μB per formula unit
# - V: 22.75 A^3/atom
# - E_form: -0.61 eV/atom
data_Ca5AgPd4
_chemical_formula_sum 'Ca5 Ag1 Pd4'
_symmetry_space_group_name_H-M 'P 4/m m m'
_symmetry_Int_Tables_number 123
_symmetry_space_group_name_Hall '-P 4 2'
_cell_length_a 3.564
_cell_length_b 3.564
_cell_length_c 17.906
_cell_angle_alpha 90.00
_cell_angle_beta 90.00
_cell_angle_gamma 90.00
loop_
_atom_site_label
_atom_site_type_symbol
_atom_site_fract_x
_atom_site_fract_y
_atom_site_fract_z
Ca1 Ca 0.000 0.000 0.000
Ca2 Ca 0.000 0.000 0.193
Ca3 Ca 0.000 0.000 0.387
Ag1 Ag 0.500 0.500 0.500
Pd1 Pd 0.500 0.500 0.097
Pd2 Pd 0.500 0.500 0.292


(3)
# Ca2AgPd | Alexandria | PBE-GGA | optimized geometry
# - Total magnetic moment: 0.00 μB per formula unit
# - V: 23.80 A^3/atom
# - E_form: -0.50 eV/atom
data_Ca2AgPd
_chemical_formula_sum 'Ca8 Ag4 Pd4'
_symmetry_space_group_name_H-M 'F m -3 m'
_symmetry_Int_Tables_number 225
_symmetry_space_group_name_Hall '-F 4 2 3'
_cell_length_a 7.248
_cell_length_b 7.248
_cell_length_c 7.248
_cell_angle_alpha 90.00
_cell_angle_beta 90.00
_cell_angle_gamma 90.00
loop_
_atom_site_label
_atom_site_type_symbol
_atom_site_fract_x
_atom_site_fract_y
_atom_site_fract_z
Ca1 Ca 0.250 0.250 0.250
Ag1 Ag 0.000 0.000 0.000
Pd1 Pd 0.000 0.000 0.500


(4)
# Ca6Ag2Pd | Alexandria | PBE-GGA | optimized geometry
# - Total magnetic moment: 0.00 μB per formula unit
# - V: 30.01 A^3/atom
# - E_form: -0.28 eV/atom
data_Ca6Ag2Pd
_chemical_formula_sum 'Ca24 Ag8 Pd4'
_symmetry_space_group_name_H-M 'I m m m'
_symmetry_Int_Tables_number 71
_symmetry_space_group_name_Hall '-I 2 2'
_cell_length_a 9.978
_cell_length_b 10.171
_cell_length_c 10.645
_cell_angle_alpha 90.00
_cell_angle_beta 90.00
_cell_angle_gamma 90.00
loop_
_atom_site_label
_atom_site_type_symbol
_atom_site_fract_x
_atom_site_fract_y
_atom_site_fract_z
Ca1 Ca 0.000 0.187 0.246
Ca2 Ca 0.206 0.500 0.335
Ca3 Ca 0.236 0.328 0.000
Ag1 Ag 0.000 0.340 0.500
Ag2 Ag 0.000 0.500 0.130
Pd1 Pd 0.000 0.000 0.000
Pd2 Pd 0.000 0.000 0.500


(5)
# CaAg6Pd6 | Alexandria | PBE-GGA | optimized geometry
# - Total magnetic moment: 0.00 μB per formula unit
# - V: 18.10 A^3/atom
# - E_form: -0.16 eV/atom
data_CaAg6Pd6
_chemical_formula_sum 'Ca2 Ag12 Pd12'
_symmetry_space_group_name_H-M 'I m m m'
_symmetry_Int_Tables_number 71
_symmetry_space_group_name_Hall '-I 2 2'
_cell_length_a 5.360
_cell_length_b 9.368
_cell_length_c 9.376
_cell_angle_alpha 90.00
_cell_angle_beta 90.00
_cell_angle_gamma 90.00
loop_
_atom_site_label
_atom_site_type_symbol
_atom_site_fract_x
_atom_site_fract_y
_atom_site_fract_z
Ca1 Ca 0.000 0.000 0.000
Ag1 Ag 0.000 0.000 0.347
Ag2 Ag 0.000 0.296 0.500
Ag3 Ag 0.000 0.351 0.000
Pd1 Pd 0.000 0.500 0.275
Pd2 Pd 0.250 0.250 0.250


(6)
# CaAg5Pd6 | Alexandria | PBE-GGA | optimized geometry
# - Total magnetic moment: 0.00 μB per formula unit
# - V: 17.11 A^3/atom
# - E_form: -0.17 eV/atom
data_CaAg5Pd6
_chemical_formula_sum 'Ca2 Ag10 Pd12'
_symmetry_space_group_name_H-M 'I m m m'
_symmetry_Int_Tables_number 71
_symmetry_space_group_name_Hall '-I 2 2'
_cell_length_a 4.182
_cell_length_b 7.931
_cell_length_c 12.381
_cell_angle_alpha 90.00
_cell_angle_beta 90.00
_cell_angle_gamma 90.00
loop_
_atom_site_label
_atom_site_type_symbol
_atom_site_fract_x
_atom_site_fract_y
_atom_site_fract_z
Ca1 Ca 0.000 0.000 0.000
Ag1 Ag 0.000 0.000 0.333
Ag2 Ag 0.000 0.500 0.000
Ag3 Ag 0.000 0.500 0.329
Pd1 Pd 0.000 0.244 0.500
Pd2 Pd 0.000 0.252 0.168


(7)
# CaAgPd6 | Alexandria | PBE-GGA | optimized geometry
# - Total magnetic moment: 0.00 μB per formula unit
# - V: 17.25 A^3/atom
# - E_form: -0.09 eV/atom
data_CaAgPd6
_chemical_formula_sum 'Ca1 Ag1 Pd6'
_symmetry_space_group_name_H-M 'P m -3'
_symmetry_Int_Tables_number 200
_symmetry_space_group_name_Hall '-P 2 2 3'
_cell_length_a 5.168
_cell_length_b 5.168
_cell_length_c 5.168
_cell_angle_alpha 90.00
_cell_angle_beta 90.00
_cell_angle_gamma 90.00
loop_
_atom_site_label
_atom_site_type_symbol
_atom_site_fract_x
_atom_site_fract_y
_atom_site_fract_z
Ca1 Ca 0.000 0.000 0.000
Ag1 Ag 0.500 0.500 0.500
Pd1 Pd 0.000 0.253 0.500


(8)
# Ca6AgPd3 | Alexandria | PBE-GGA | optimized geometry
# - Total magnetic moment: 0.00 μB per formula unit
# - V: 28.20 A^3/atom
# - E_form: -0.48 eV/atom
data_Ca6AgPd3
_chemical_formula_sum 'Ca12 Ag2 Pd6'
_symmetry_space_group_name_H-M 'P 1 21/m 1'
_symmetry_Int_Tables_number 11
_symmetry_space_group_name_Hall '-P 2yb'
_cell_length_a 10.828
_cell_length_b 4.297
_cell_length_c 12.963
_cell_angle_alpha 90.00
_cell_angle_beta 110.74
_cell_angle_gamma 90.00
loop_
_atom_site_label
_atom_site_type_symbol
_atom_site_fract_x
_atom_site_fract_y
_atom_site_fract_z
Ca1 Ca 0.020 0.250 0.390
Ca2 Ca 0.074 0.250 0.910
Ca3 Ca 0.239 0.750 0.322
Ca4 Ca 0.340 0.750 0.095
Ca5 Ca 0.340 0.750 0.803
Ca6 Ca 0.386 0.250 0.567
Ag1 Ag 0.421 0.250 0.290
Pd1 Pd 0.140 0.250 0.160
Pd2 Pd 0.197 0.750 0.532
Pd3 Pd 0.406 0.250 0.968


(9)
# Ca2Ag2Pd | Alexandria | PBE-GGA | optimized geometry
# - Total magnetic moment: 0.00 μB per formula unit
# - V: 24.72 A^3/atom
# - E above lowest polymorph: 193 meV per atom
# - E_form: -0.14 eV/atom
data_Ca2Ag2Pd
_chemical_formula_sum 'Ca4 Ag4 Pd2'
_symmetry_space_group_name_H-M 'P 4/m b m'
_symmetry_Int_Tables_number 127
_symmetry_space_group_name_Hall '-P 4 2ab'
_cell_length_a 7.934
_cell_length_b 7.934
_cell_length_c 3.927
_cell_angle_alpha 90.00
_cell_angle_beta 90.00
_cell_angle_gamma 90.00
loop_
_atom_site_label
_atom_site_type_symbol
_atom_site_fract_x
_atom_site_fract_y
_atom_site_fract_z
Ca1 Ca 0.171 0.329 0.000
Ag1 Ag 0.127 0.627 0.500
Pd1 Pd 0.000 0.000 0.000


(10)
# Ca4Ag2Pd | Alexandria | PBE-GGA | optimized geometry
# - Total magnetic moment: 0.00 μB per formula unit
# - V: 32.18 A^3/atom
# - E above lowest polymorph: 125 meV per atom
# - E_form: -0.24 eV/atom
data_Ca4Ag2Pd
_chemical_formula_sum 'Ca8 Ag4 Pd2'
_symmetry_space_group_name_H-M 'I 4/m m m'
_symmetry_Int_Tables_number 139
_symmetry_space_group_name_Hall '-I 4 2'
_cell_length_a 5.499
_cell_length_b 5.499
_cell_length_c 14.902
_cell_angle_alpha 90.00
_cell_angle_beta 90.00
_cell_angle_gamma 90.00
loop_
_atom_site_label
_atom_site_type_symbol
_atom_site_fract_x
_atom_site_fract_y
_atom_site_fract_z
Ca1 Ca 0.000 0.000 0.192
Ca2 Ca 0.000 0.500 0.000
Ag1 Ag 0.000 0.000 0.395
Pd1 Pd 0.000 0.000 0.000


(11)
# Ca4Ag2Pd | Alexandria | PBE-GGA | optimized geometry
# - Total magnetic moment: 0.00 μB per formula unit
# - V: 27.80 A^3/atom
# - E above lowest polymorph: 0 meV per atom
# - E_form: -0.36 eV/atom
data_Ca4Ag2Pd
_chemical_formula_sum 'Ca12 Ag6 Pd3'
_symmetry_space_group_name_H-M 'R -3 m'
_symmetry_Int_Tables_number 166
_symmetry_space_group_name_Hall '-R 3 2"'
_cell_length_a 5.1683
_cell_length_b 5.1683
_cell_length_c 25.2360
_cell_angle_alpha 90.00
_cell_angle_beta 90.00
_cell_angle_gamma 120.00
loop_
_atom_site_label
_atom_site_type_symbol
_atom_site_fract_x
_atom_site_fract_y
_atom_site_fract_z
Ca1 Ca 0.0000 0.0000 0.1226
Ca2 Ca 0.0000 0.0000 0.3727
Ag1 Ag 0.0000 0.0000 0.2502
Pd1 Pd 0.0000 0.0000 0.0000


(12)
# CaAg12Pd7 | Alexandria | PBE-GGA | optimized geometry
# - Total magnetic moment: 0.00 μB per formula unit
# - V: 22.91 A^3/atom
# - E_form: 0.33 eV/atom
data_CaAg12Pd7
_chemical_formula_sum 'Ca2 Ag24 Pd14'
_symmetry_space_group_name_H-M 'I m -3'
_symmetry_Int_Tables_number 204
_symmetry_space_group_name_Hall '-I 2 2 3'
_cell_length_a 9.713
_cell_length_b 9.713
_cell_length_c 9.713
_cell_angle_alpha 90.00
_cell_angle_beta 90.00
_cell_angle_gamma 90.00
loop_
_atom_site_label
_atom_site_type_symbol
_atom_site_fract_x
_atom_site_fract_y
_atom_site_fract_z
Ca1 Ca 0.000 0.000 0.000
Ag1 Ag 0.000 0.248 0.357
Pd1 Pd 0.000 0.000 0.500
Pd2 Pd 0.250 0.250 0.250